# Li5Mn7O12 (PBE+U, relaxed)
# **E**: -6.67 eV/atom
data_Li5Mn7O12
_cell_length_a 5.212
_cell_length_b 9.052
_cell_length_c 9.945
_cell_angle_alpha 90.00
_cell_angle_beta 101.39
_cell_angle_gamma 90.00
_space_group_name_H-M_alt 'C 1 2 1'
_space_group_IT_number 5
loop_
_space_group_symop_operation_xyz
'x,y,z'
'-x,y,-z'
'x+1/2,y+1/2,z'
'-x+1/2,y+1/2,-z'
loop_
_atom_site_label
_atom_site_type_symbol
_atom_site_fract_x
_atom_site_fract_y
_atom_site_fract_z
_atom_site_occupancy
Li1 Li 0.000 0.000 0.000 1
Li2 Li 0.236 0.346 0.757 1
Li3 Li 0.249 0.509 0.249 1
Mn1 Mn 0.000 0.184 0.500 1
Mn2 Mn 0.000 0.333 0.000 1
Mn3 Mn 0.000 0.511 0.500 1
Mn4 Mn 0.000 0.660 0.000 1
Mn5 Mn 0.000 0.854 0.500 1
Mn6 Mn 0.245 0.671 0.755 1
O1 O 0.092 0.181 0.873 1
O2 O 0.100 0.669 0.373 1
O3 O 0.108 0.502 0.890 1
O4 O 0.117 0.359 0.382 1
O5 O 0.131 0.816 0.884 1
O6 O 0.146 0.024 0.369 1